Record 1
Here is KGa3F after structural relaxation from Alexandria. Energies are from PBE.

abc: 4.995 4.995 4.995
angles: 90.00 90.00 90.00
Positions (direct):
K1 0.500 0.500 0.500
Ga1 0.000 0.500 0.000
Ga2 0.000 0.000 0.500
Ga3 0.500 0.000 0.000
F1 0.000 0.000 0.000

Computed properties:
space group = Pm-3m, No. 221
formation energy from raw total energies = -1.89 eV per formula unit
total magnetic moment = 0.000 μB/atom

Record 2
Here is Ac2LaSm2Dy after structural relaxation from Alexandria. Energies are from PBE.

abc: 5.942 7.379 10.274
angles: 90.00 90.00 90.00
Positions (direct):
Ac1 0.500 0.008 0.000
Ac2 0.000 0.258 0.172
Ac3 0.500 0.508 0.000
Ac4 0.000 0.758 0.828
La1 0.000 0.008 0.500
La2 0.000 0.508 0.500
Sm1 0.000 0.258 0.826
Sm2 0.500 0.257 0.342
Sm3 0.000 0.758 0.174
Sm4 0.500 0.757 0.658
Dy1 0.500 0.258 0.665
Dy2 0.500 0.758 0.335

Computed properties:
space group = Pmma, No. 51
formation enthalpy at 0 K = 0.08 eV per atom
total magnetic moment = 0.000 μB/atom

Record 3
Here is CoPt4Au after structural relaxation from Alexandria. Energies are from PBE.

abc: 5.240 5.240 5.240
angles: 60.00 60.00 60.00
Each line ends with the local moment (μB).
Positions (direct):
Co1 0.000 0.000 0.000  2.08
Pt1 0.875 0.375 0.375  0.00
Pt2 0.375 0.375 0.875  0.00
Pt3 0.375 0.875 0.375  0.00
Pt4 0.375 0.375 0.375  0.00
Au1 0.750 0.750 0.750  -0.01

Computed properties:
space group = F-43m, No. 216
formation enthalpy at 0 K = 0.29 eV per atom
total magnetic moment = 0.337 μB/atom

Record 4
Here is HoTc2N4 after structural relaxation from Alexandria. Energies are from PBE.

abc: 3.191 5.122 9.994
angles: 90.00 90.00 108.15
Positions (direct):
Ho1 0.629 0.257 0.750
Ho2 0.371 0.743 0.250
Tc1 0.114 0.228 0.436
Tc2 0.886 0.772 0.936
Tc3 0.114 0.228 0.064
Tc4 0.886 0.772 0.564
N1 0.762 0.524 0.107
N2 0.762 0.524 0.393
N3 0.238 0.476 0.893
N4 0.238 0.476 0.607
N5 0.937 0.874 0.750
N6 0.063 0.126 0.250
N7 0.500 0.000 0.000
N8 0.500 0.000 0.500

Computed properties:
space group = Cmcm, No. 63
formation energy from raw total energies = -2.99 eV per formula unit
total magnetic moment = 0.000 μB/atom

Record 5
Here is AcYIrBr after structural relaxation from Alexandria. Energies are from PBE.

abc: 4.207 4.207 8.353
angles: 90.00 104.61 120.00
Positions (direct):
Ac1 0.512 0.154 0.682
Y1 0.100 0.948 0.062
Ir1 0.316 0.556 0.887
Br1 0.950 0.373 0.338

Computed properties:
space group = R3m, No. 160
formation energy from raw total energies = -4.44 eV per formula unit
total magnetic moment = 0.000 μB/atom

Record 6
Here is Mg2PIr after structural relaxation from Alexandria. Energies are from PBE.

abc: 4.423 4.423 4.423
angles: 60.00 60.00 60.00
Positions (direct):
Ir1 0.500 0.500 0.500
Mg1 0.000 0.000 0.000
Mg2 0.250 0.250 0.250
P1 0.750 0.750 0.750

Computed properties:
space group = F-43m, No. 216
formation enthalpy at 0 K = -0.16 eV per atom
total magnetic moment = 0.000 μB/atom

Record 7
Here is PaCoRe after structural relaxation from Alexandria. Energies are from PBE.

abc: 3.220 7.612 7.612
angles: 120.00 90.00 90.00
Positions (direct):
Pa1 0.000 0.000 0.703
Pa2 0.000 0.703 0.000
Pa3 0.000 0.297 0.297
Re1 0.000 0.667 0.333
Re2 0.000 0.333 0.667
Re3 0.500 0.000 0.000
Co1 0.500 0.000 0.440
Co2 0.500 0.560 0.560
Co3 0.500 0.440 0.000

Computed properties:
space group = P-62m, No. 189
formation enthalpy at 0 K = 0.30 eV per atom
total magnetic moment = 0.000 μB/atom

Record 8
Here is Pr6Sm4Er after structural relaxation from Alexandria. Energies are from PBE.

abc: 9.954 9.954 9.954
angles: 56.91 140.62 140.62
Positions (direct):
Pr1 0.000 0.809 0.453
Pr2 0.000 0.453 0.809
Pr3 0.357 0.547 0.547
Pr4 0.500 0.500 0.000
Pr5 0.643 0.191 0.191
Pr6 0.500 0.000 0.500
Sm1 0.000 0.636 0.011
Sm2 0.375 0.364 0.364
Sm3 0.000 0.011 0.636
Sm4 0.625 0.989 0.989
Er1 0.000 0.000 0.000

Computed properties:
space group = I-42m, No. 121
formation enthalpy at 0 K = 0.28 eV per atom
total magnetic moment = 0.000 μB/atom

Record 9
Here is Tb7PmSc4 after structural relaxation from Alexandria. Energies are from PBE.

abc: 6.994 6.055 11.085
angles: 79.49 50.88 90.07
Positions (direct):
Tb1 0.739 0.502 0.006
Tb2 0.261 0.498 0.994
Tb3 0.084 0.285 0.660
Tb4 0.916 0.715 0.340
Tb5 0.337 0.776 0.663
Tb6 0.500 0.000 0.000
Tb7 0.663 0.224 0.337
Pm1 0.000 0.000 0.000
Sc1 0.405 0.726 0.338
Sc2 0.595 0.274 0.662
Sc3 0.841 0.784 0.660
Sc4 0.159 0.216 0.340

Computed properties:
space group = P-1, No. 2
formation enthalpy at 0 K = 0.02 eV per atom
total magnetic moment = 0.000 μB/atom

Record 10
Here is Nd2CoNi after structural relaxation from Alexandria. Energies are from PBE.

abc: 3.975 3.976 7.511
angles: 74.59 74.66 60.01
Positions (direct):
Nd1 0.890 0.654 0.566
Nd2 0.715 0.477 0.093
Co1 0.469 0.232 0.829
Ni1 0.136 0.899 0.829

Computed properties:
space group = Cm, No. 8
formation enthalpy at 0 K = -0.18 eV per atom
total magnetic moment = 0.000 μB/atom

Record 11
Here is Tl2I2Br7 after structural relaxation from Alexandria. Energies are from PBE.

abc: 8.394 8.011 15.155
angles: 90.00 90.00 90.93
Positions (direct):
Tl1 0.525 0.967 0.171
Tl2 0.475 0.533 0.671
Tl3 0.475 0.033 0.829
Tl4 0.525 0.467 0.329
I1 0.957 0.773 0.892
I2 0.043 0.227 0.108
I3 0.957 0.273 0.608
I4 0.043 0.727 0.392
Br1 0.000 0.000 0.500
Br2 0.000 0.500 0.000
Br3 0.305 0.122 0.017
Br4 0.695 0.378 0.517
Br5 0.695 0.878 0.983
Br6 0.305 0.622 0.483
Br7 0.218 0.208 0.707
Br8 0.218 0.708 0.793
Br9 0.782 0.292 0.207
Br10 0.782 0.792 0.293
Br11 0.647 0.858 0.692
Br12 0.647 0.358 0.808
Br13 0.353 0.642 0.192
Br14 0.353 0.142 0.308

Computed properties:
space group = P2_1/c, No. 14
formation energy from raw total energies = -3.05 eV per formula unit
total magnetic moment = 0.000 μB/atom

Record 12
Here is BaAsSe2 after structural relaxation from Alexandria. Energies are from PBE.

abc: 5.351 5.351 5.351
angles: 60.00 60.00 60.00
Positions (direct):
As1 0.500 0.500 0.500
Ba1 0.750 0.750 0.750
Se1 0.000 0.000 0.000
Se2 0.250 0.250 0.250

Computed properties:
space group = F-43m, No. 216
formation energy from raw total energies = -0.91 eV per formula unit
total magnetic moment = 0.000 μB/atom

Record 13
Here is Dy2MgSn2Rh5 after structural relaxation from Alexandria. Energies are from PBE.

abc: 3.698 10.151 10.151
angles: 90.00 90.00 90.00
Positions (direct):
Dy1 0.000 0.669 0.169
Dy2 0.000 0.331 0.831
Dy3 0.000 0.169 0.331
Dy4 0.000 0.831 0.669
Mg1 0.000 0.000 0.000
Mg2 0.000 0.500 0.500
Sn1 0.000 0.130 0.630
Sn2 0.000 0.870 0.370
Sn3 0.000 0.630 0.870
Sn4 0.000 0.370 0.130
Rh1 0.500 0.200 0.059
Rh2 0.500 0.800 0.941
Rh3 0.500 0.059 0.800
Rh4 0.500 0.700 0.441
Rh5 0.500 0.941 0.200
Rh6 0.500 0.300 0.559
Rh7 0.500 0.559 0.700
Rh8 0.500 0.441 0.300
Rh9 0.500 0.500 0.000
Rh10 0.500 0.000 0.500

Computed properties:
space group = P4/mbm, No. 127
formation enthalpy at 0 K = -0.56 eV per atom
total magnetic moment = 0.000 μB/atom

Record 14
Here is LiZnI3 after structural relaxation from Alexandria. Energies are from PBE.

abc: 7.515 10.664 10.664
angles: 90.30 73.84 73.84
Positions (direct):
Li1 0.750 0.213 0.787
Li2 0.250 0.193 0.807
Li3 0.750 0.807 0.193
Li4 0.250 0.787 0.213
Zn1 0.776 0.372 0.210
Zn2 0.276 0.210 0.372
Zn3 0.724 0.790 0.628
Zn4 0.224 0.628 0.790
I1 0.558 0.293 0.416
I2 0.595 0.995 0.802
I3 0.058 0.416 0.293
I4 0.942 0.584 0.707
I5 0.887 0.864 0.398
I6 0.095 0.802 0.995
I7 0.442 0.707 0.584
I8 0.905 0.198 0.005
I9 0.405 0.005 0.198
I10 0.387 0.398 0.864
I11 0.113 0.136 0.602
I12 0.613 0.602 0.136

Computed properties:
space group = C2/c, No. 15
formation energy from raw total energies = -4.02 eV per formula unit
total magnetic moment = 0.000 μB/atom